[1]
A plane-wave DFT calculation with PBE-GGA was carried out for a relaxed CsSiTc crystal.

Geometry as CIF:
```
data_CsSiTc
_cell_length_a 6.526
_cell_length_b 6.526
_cell_length_c 6.526
_cell_angle_alpha 90.00
_cell_angle_beta 90.00
_cell_angle_gamma 90.00
_symmetry_space_group_name_H-M 'F -4 3 m'
_symmetry_Int_Tables_number 216
_symmetry_space_group_name_Hall 'F -4 2 3'
loop_
_atom_site_label
_atom_site_type_symbol
_atom_site_fract_x
_atom_site_fract_y
_atom_site_fract_z
Cs1 Cs 0.000 0.000 0.000
Si1 Si 0.000 0.000 0.500
Tc1 Tc 0.250 0.250 0.250
```

Results
**Volume**: 23.16 Å³/atom
**Excess energy over the best structure of this formula in the dataset**: 0 meV per atom



[2]
A plane-wave DFT calculation with PBE-GGA was carried out for a relaxed SrFePt2 crystal.

Geometry as CIF:
```
data_SrFePt2
_cell_length_a 6.683
_cell_length_b 6.683
_cell_length_c 6.683
_cell_angle_alpha 90.00
_cell_angle_beta 90.00
_cell_angle_gamma 90.00
_symmetry_space_group_name_H-M 'F -4 3 m'
_symmetry_Int_Tables_number 216
_symmetry_space_group_name_Hall 'F -4 2 3'
loop_
_atom_site_label
_atom_site_type_symbol
_atom_site_fract_x
_atom_site_fract_y
_atom_site_fract_z
Sr1 Sr 0.000 0.000 0.000
Fe1 Fe 0.250 0.250 0.250
Pt1 Pt 0.000 0.000 0.500
Pt2 Pt 0.250 0.250 0.750
```

Results
**Volume**: 18.66 Å³/atom
**Calculated total energy**: -5.43 eV per atom



[3]
A plane-wave DFT calculation with PBE-GGA was carried out for a relaxed ErTlGaTe3 crystal.

Geometry as CIF:
```
data_ErTlGaTe3
_cell_length_a 4.534
_cell_length_b 15.242
_cell_length_c 11.544
_cell_angle_alpha 90.00
_cell_angle_beta 90.00
_cell_angle_gamma 90.00
_symmetry_space_group_name_H-M 'C m c m'
_symmetry_Int_Tables_number 63
_symmetry_space_group_name_Hall '-C 2c 2'
loop_
_atom_site_label
_atom_site_type_symbol
_atom_site_fract_x
_atom_site_fract_y
_atom_site_fract_z
Er1 Er 0.000 0.000 0.000
Tl1 Tl 0.000 0.246 0.250
Ga1 Ga 0.000 0.464 0.750
Te1 Te 0.000 0.075 0.750
Te2 Te 0.000 0.365 0.549
```

Results
**Volume**: 33.24 Å³/atom
**Calculated total energy**: -3.92 eV per atom



[4]
A plane-wave DFT calculation with PBE-GGA was carried out for a relaxed Gd2AlGaI2 crystal.

Geometry as CIF:
```
data_Gd2AlGaI2
_cell_length_a 4.2515
_cell_length_b 4.2515
_cell_length_c 12.0964
_cell_angle_alpha 90.00
_cell_angle_beta 90.00
_cell_angle_gamma 120.00
_symmetry_space_group_name_H-M 'P 3 m 1'
_symmetry_Int_Tables_number 156
_symmetry_space_group_name_Hall 'P 3 -2"'
loop_
_atom_site_label
_atom_site_type_symbol
_atom_site_fract_x
_atom_site_fract_y
_atom_site_fract_z
Gd1 Gd 0.0000 0.0000 0.0000
Gd2 Gd 0.0000 0.0000 0.3406
Al1 Al 0.6667 0.3333 0.1876
Ga1 Ga 0.3333 0.6667 0.1457
I1 I 0.3333 0.6667 0.5051
I2 I 0.6667 0.3333 0.8345
```

Results
**Volume**: 31.56 Å³/atom
**Calculated total energy**: -4.19 eV per atom



[5]
A plane-wave DFT calculation with PBE-GGA was carried out for a relaxed TaCoSiPd crystal.

Geometry as CIF:
```
data_TaCoSiPd
_cell_length_a 6.086
_cell_length_b 6.086
_cell_length_c 6.086
_cell_angle_alpha 90.00
_cell_angle_beta 90.00
_cell_angle_gamma 90.00
_symmetry_space_group_name_H-M 'F -4 3 m'
_symmetry_Int_Tables_number 216
_symmetry_space_group_name_Hall 'F -4 2 3'
loop_
_atom_site_label
_atom_site_type_symbol
_atom_site_fract_x
_atom_site_fract_y
_atom_site_fract_z
Ta1 Ta 0.000 0.000 0.000
Co1 Co 0.000 0.000 0.500
Si1 Si 0.250 0.250 0.250
Pd1 Pd 0.250 0.250 0.750
```

Results
**Volume**: 14.09 Å³/atom
**Excess energy over the best structure of this formula in the dataset**: 59 meV per atom



[6]
A plane-wave DFT calculation with PBE-GGA was carried out for a relaxed Nd2ThIr9 crystal.

Geometry as CIF:
```
data_Nd2ThIr9
_cell_length_a 5.3731
_cell_length_b 5.3731
_cell_length_c 26.6792
_cell_angle_alpha 90.00
_cell_angle_beta 90.00
_cell_angle_gamma 120.00
_symmetry_space_group_name_H-M 'R -3 m'
_symmetry_Int_Tables_number 166
_symmetry_space_group_name_Hall '-R 3 2"'
loop_
_atom_site_label
_atom_site_type_symbol
_atom_site_fract_x
_atom_site_fract_y
_atom_site_fract_z
Nd1 Nd 0.0000 0.0000 0.1403
Th1 Th 0.0000 0.0000 0.0000
Ir1 Ir 0.0000 0.0000 0.3325
Ir2 Ir 0.0000 0.0000 0.5000
Ir3 Ir 0.0022 0.5011 0.0812
```

Results
**Energy relative to the elements**: -0.5832 eV/atom
**Volume**: 18.53 Å³/atom